# 1
GdThTlRh, relaxed, DFT PBE-GGA; space-group type = F-43m; ΔH_f (0 K) = -338 meV per atom; size of the total moment = 7.2 μB per cell
1.0
-3.1336 2.1158 -3.6285
1.2077 -0.4349 -5.0808
-2.8600 -3.0925 -3.1176
Rh Tl Th Gd
1 1 1 1
Cartesian
-3.5894 -1.0587 -8.8702
-1.1965 -0.3529 -2.9567
-2.3930 -0.7058 -5.9135
0.0000 0.0000 0.0000

***

# 2
GdThZnRh, relaxed, DFT PBE-GGA; space-group type = F-43m; ΔH_f (0 K) = -481 meV per atom; size of the total moment = 7.2 μB per cell
1.0
5.0597 0.0000 0.0000
2.5299 4.3818 0.0000
2.5299 1.4606 4.1312
Th Rh Gd Zn
1 1 1 1
Cartesian
7.5896 4.3818 3.0984
5.0597 2.9212 2.0656
2.5299 1.4606 1.0328
0.0000 0.0000 0.0000

***

# 3
GdTiRh, relaxed, DFT PBE-GGA; space-group type = I4mm; ΔH_f (0 K) = -402 meV per atom; size of the total moment = 8.2 μB per cell
1.0
3.2807 0.0000 0.0000
0.0000 3.2807 0.0000
-1.6403 -1.6403 5.6558
Gd Ti Rh
1 1 1
Cartesian
1.6403 1.6403 5.5727
1.6403 1.6403 2.2999
0.0000 0.0000 3.4390

***

# 4
GdTiZnRh, relaxed, DFT PBE-GGA; space-group type = F-43m; ΔH_f (0 K) = -330 meV per atom; size of the total moment = 7.8 μB per cell
1.0
-0.2532 4.4258 -1.6460
-3.5155 2.8415 1.3885
0.9015 3.6462 2.8728
Rh Ti Zn Gd
1 1 1 1
Cartesian
0.0000 0.0000 0.0000
-0.7168 2.7284 0.6538
-1.4336 5.4567 1.3077
-2.1504 8.1851 1.9615

***

# 5
GdTl2Rh, relaxed, DFT PBE-GGA; space-group type = Fm-3m; ΔH_f (0 K) = -220 meV per atom; size of the total moment = 6.9 μB per cell
1.0
-0.9417 0.8346 -4.8386
-4.3793 -1.3909 -1.9706
-3.3529 3.4606 -1.3335
Rh Tl Gd
1 2 1
Cartesian
-4.3369 1.4521 -4.0714
-6.5054 2.1782 -6.1071
-2.1685 0.7261 -2.0357
0.0000 0.0000 0.0000

***

# 6
GdTlRh4, relaxed, DFT PBE-GGA; space-group type = F-43m; ΔH_f (0 K) = -357 meV per atom; size of the total moment = 6.9 μB per cell
1.0
5.3246 0.0000 0.0000
2.6623 4.6112 0.0000
2.6623 1.5371 4.3475
Rh Gd Tl
4 1 1
Cartesian
3.9877 3.8460 2.7195
6.6615 3.8460 2.7195
5.3246 3.0742 0.5364
5.3246 1.5304 2.7195
2.6623 1.5371 1.0869
0.0000 0.0000 0.0000

***

# 7
Gd2TlRh, relaxed, DFT PBE-GGA; space-group type = Fm-3m; ΔE to the lowest computed polymorph = 120 meV per atom; ΔH_f (0 K) = -464 meV per atom; size of the total moment = 14.1 μB per cell
1.0
-4.1094 0.2768 -3.1224
-1.5227 -4.1721 -2.6435
-4.3872 -2.4127 1.2824
Gd Rh Tl
2 1 1
Cartesian
-2.5048 -1.5770 -1.1209
-7.5145 -4.7310 -3.3626
0.0000 0.0000 0.0000
-5.0097 -3.1540 -2.2417

***

# 8
Gd2TlRh, relaxed, DFT PBE-GGA; space-group type = P4/mmm; ΔE to the lowest computed polymorph = 0 meV per atom; ΔH_f (0 K) = -584 meV per atom; size of the total moment = 14.3 μB per cell
1.0
3.5021 0.0000 0.0000
0.0000 3.5021 0.0000
0.0000 0.0000 8.0318
Gd Rh Tl
2 1 1
Cartesian
0.0000 0.0000 1.6832
0.0000 0.0000 6.3487
1.7511 1.7511 0.0000
1.7511 1.7511 4.0159